1:
Entry from Alexandria: a geometry-optimized TaZn2Ga2 structure (PBE).

Cell and atoms, written as extended XYZ:
```
10
Lattice="7.287 0.000 0.000 0.000 7.287 0.000 0.000 0.000 3.028" Properties=species:S:1:pos:R:3 pbc="T T T"
Zn 6.124 2.480 1.514
Ga 4.666 1.022 0.000
Ga 2.621 6.264 0.000
Ga 6.264 4.666 0.000
Ga 1.022 2.621 0.000
Zn 2.480 1.163 1.514
Ta 0.000 0.000 0.000
Zn 1.163 4.807 1.514
Ta 3.643 3.643 0.000
Zn 4.807 6.124 1.514
```

The space group is No. 127. The value obtained for the magnetic moment is 0.0000 μB/atom.

2:
Entry from Alexandria: a geometry-optimized TaZn2Ga2 structure (PBE).

Cell and atoms, written as extended XYZ:
```
10
Lattice="7.282 0.000 0.000 0.000 7.282 0.000 0.000 0.000 3.011" Properties=species:S:1:pos:R:3 pbc="T T T"
Ga 5.981 2.340 1.506
Zn 6.391 4.531 0.000
Ga 2.340 1.301 1.506
Ta 3.641 3.641 0.000
Ga 1.301 4.942 1.506
Ta 0.000 0.000 0.000
Zn 2.751 6.391 0.000
Ga 4.942 5.981 1.506
Zn 0.890 2.751 0.000
Zn 4.531 0.890 0.000
```

The space group is No. 127. The value obtained for the magnetic moment is 0.0000 μB/atom.

The energy of each structure relative to the most stable one, in meV/atom, is as follows: 1 0; 2 15.